(one)
Entry from the Alexandria database: a geometry-optimized K2Sm2MgMo4O16 structure (PBE+U).

Unit cell a=7.778 b=7.778 c=7.591 alpha=62.54 beta=62.54 gamma=89.21
Sites, in units of the cell vectors:
Mo (0.301, 0.295, 0.469)
Mo (0.308, 0.278, 0.969)
Mo (0.722, 0.692, 0.031)
Mo (0.705, 0.699, 0.531)
O (0.632, 0.924, 0.379)
O (0.364, 0.595, 0.753)
O (0.788, 0.957, 0.942)
O (0.405, 0.636, 0.247)
O (0.581, 0.369, 0.220)
O (0.631, 0.419, 0.780)
O (0.076, 0.368, 0.621)
O (0.380, 0.250, 0.683)
O (0.227, 0.034, 0.565)
O (0.387, 0.059, 0.118)
O (0.966, 0.773, 0.435)
O (0.750, 0.620, 0.317)
O (0.223, 0.349, 0.220)
O (0.651, 0.777, 0.780)
O (0.043, 0.212, 0.058)
O (0.941, 0.613, 0.882)
K (0.796, 0.204, 0.500)
K (0.113, 0.887, 0.000)
Sm (0.771, 0.229, 0.000)
Sm (0.242, 0.758, 0.500)
Mg (0.380, 0.620, 0.000)

Computed properties:
**Spin magnetization**: 0.08 μB/atom

---

(two)
Entry from the Alexandria database: a geometry-optimized K2Sm2MgMo4O16 structure (PBE+U).

Unit cell a=7.507 b=7.717 c=7.874 alpha=102.23 beta=101.97 gamma=110.58
Sites, in units of the cell vectors:
Sm (0.172, 0.508, 0.986)
Sm (0.766, 0.496, 0.095)
O (0.233, 0.432, 0.714)
O (0.797, 0.797, 0.236)
O (0.785, 0.796, 0.572)
O (0.154, 0.769, 0.225)
O (0.459, 0.475, 0.141)
O (0.367, 0.631, 0.479)
O (0.273, 0.049, 0.690)
O (0.159, 0.177, 0.416)
O (0.912, 0.530, 0.433)
O (0.572, 0.337, 0.503)
O (0.056, 0.704, 0.830)
O (0.636, 0.229, 0.810)
O (0.369, 0.826, 0.225)
O (0.831, 0.359, 0.805)
O (0.627, 0.565, 0.818)
O (0.996, 0.344, 0.144)
Mo (0.809, 0.575, 0.660)
Mo (0.115, 0.419, 0.422)
Mo (0.395, 0.288, 0.657)
Mo (0.564, 0.726, 0.339)
K (0.534, 0.867, 0.818)
K (0.191, 0.066, 0.085)
Mg (0.040, 0.898, 0.451)

Computed properties:
**Spin magnetization**: 0.24 μB/atom

---

The structure with the greatest stability is (one).